[1]
LiYMo2: optimized geometry, GGA-PBE.

Unit cell a=4.327 b=2.904 c=6.230 alpha=76.25 beta=90.00 gamma=90.00
Sites, in units of the cell vectors:
1 Mo 0.500 0.217 0.202
2 Mo 0.000 0.048 0.023
3 Y 0.000 0.453 0.490
4 Li 0.500 0.782 0.785

**Offset from the most stable computed form**: 109 meV per atom
**DOS at the Fermi energy**: 3.451 states/eV/cell
**Space group**: Pm
**ρ**: 6.3 g cm⁻³
**E_form**: 0.370 eV per atom
**Crystal system**: monoclinic

[2]
Zr5Al3: optimized geometry, GGA-PBE.

Unit cell a=5.134 b=5.134 c=7.105 alpha=105.94 beta=105.94 gamma=103.87
Sites, in units of the cell vectors:
1 Zr 0.128 0.628 0.256
2 Zr 0.000 0.000 0.000
3 Zr 0.628 0.128 0.256
4 Zr 0.872 0.372 0.744
5 Zr 0.372 0.872 0.744
6 Al 0.246 0.246 0.492
7 Al 0.754 0.754 0.508
8 Al 0.500 0.500 0.000

**Offset from the most stable computed form**: 68 meV per atom
**DOS at the Fermi energy**: 7.527 states/eV/cell
**Space group**: Fmmm
**ρ**: 5.5 g cm⁻³
**E_form**: -0.309 eV per atom
**Crystal system**: orthorhombic

[3]
ScPdPt6: optimized geometry, GGA-PBE.

Unit cell a=3.959 b=3.959 c=8.080 alpha=90.00 beta=90.00 gamma=90.00
Sites, in units of the cell vectors:
1 Pd 0.000 0.000 0.500
2 Pt 0.000 0.500 0.751
3 Pt 0.500 0.500 0.000
4 Pt 0.500 0.000 0.249
5 Pt 0.500 0.500 0.500
6 Pt 0.500 0.000 0.751
7 Pt 0.000 0.500 0.249
8 Sc 0.000 0.000 0.000

**DOS at the Fermi energy**: 9.839 states/eV/cell
**Space group**: P4/mmm
**ρ**: 17.3 g cm⁻³
**E_form**: -0.541 eV per atom
**Crystal system**: tetragonal

[4]
Nb3MoW6: optimized geometry, GGA-PBE.

Unit cell a=4.445 b=10.521 c=10.797 alpha=134.90 beta=90.00 gamma=90.00
Sites, in units of the cell vectors:
1 Nb 0.750 0.851 0.418
2 Nb 0.750 0.439 0.747
3 Nb 0.250 0.882 0.892
4 Nb 0.250 0.561 0.253
5 Nb 0.250 0.149 0.582
6 Nb 0.750 0.118 0.108
7 W 0.250 0.485 0.920
8 W 0.750 0.515 0.080
9 W 0.750 0.555 0.415
10 W 0.750 0.187 0.763
11 W 0.750 0.668 0.729
12 W 0.250 0.332 0.271
13 W 0.750 0.116 0.408
14 W 0.250 0.813 0.237
15 W 0.750 0.924 0.749
16 W 0.250 0.076 0.251
17 W 0.250 0.445 0.585
18 W 0.250 0.884 0.592
19 Mo 0.250 0.209 0.927
20 Mo 0.750 0.791 0.073

**DOS at the Fermi energy**: 16.607 states/eV/cell
**Space group**: P2_1/m
**ρ**: 13.7 g cm⁻³
**E_form**: 0.478 eV per atom
**Crystal system**: monoclinic

[5]
Sc2Cd2Pb: optimized geometry, GGA-PBE.

Unit cell a=8.200 b=8.200 c=3.541 alpha=90.00 beta=90.00 gamma=90.00
Each line ends with the local moment (μB).
Sites, in units of the cell vectors:
1 Sc 0.829 0.329 0.500  0.15
2 Sc 0.671 0.829 0.500  0.14
3 Sc 0.171 0.671 0.500  0.15
4 Sc 0.329 0.171 0.500  0.14
5 Cd 0.625 0.125 0.000  0.01
6 Cd 0.125 0.375 0.000  0.01
7 Cd 0.375 0.875 0.000  0.01
8 Cd 0.875 0.625 0.000  0.01
9 Pb 0.500 0.500 0.000  -0.01
10 Pb 0.000 0.000 0.000  -0.01

**Offset from the most stable computed form**: 0 meV per atom
**DOS at the Fermi energy**: 8.412 states/eV/cell
**Space group**: P4/mbm
**ρ**: 7.3 g cm⁻³
**E_form**: -0.165 eV per atom
**Crystal system**: tetragonal

[6]
NaTbHo2S4: optimized geometry, GGA-PBE.

Unit cell a=3.899 b=6.815 c=6.809 alpha=70.93 beta=90.00 gamma=90.00
Sites, in units of the cell vectors:
1 S 0.500 0.754 0.249
2 S 0.000 0.242 0.255
3 S 0.500 0.246 0.751
4 S 0.000 0.758 0.745
5 Ho 0.500 0.000 0.500
6 Ho 0.000 0.000 0.000
7 Na 0.500 0.500 0.000
8 Tb 0.000 0.500 0.500

**Energy relative to the elements, uncorrected**: -1.9187 eV/atom
**DOS at the Fermi energy**: 2.516 states/eV/cell
**Space group**: P2/m
**ρ**: 6.2 g cm⁻³
**Crystal system**: monoclinic

[7]
TbHfZnRh: optimized geometry, GGA-PBE.

Unit cell a=4.805 b=4.805 c=4.805 alpha=60.00 beta=60.00 gamma=60.00
Sites, in units of the cell vectors:
1 Zn 0.000 0.000 0.000
2 Tb 0.750 0.750 0.750
3 Rh 0.500 0.500 0.500
4 Hf 0.250 0.250 0.250

**DOS at the Fermi energy**: 4.010 states/eV/cell
**Space group**: F-43m
**ρ**: 10.7 g cm⁻³
**E_form**: -0.450 eV per atom
**Crystal system**: cubic

[8]
DySi2Au2: optimized geometry, GGA-PBE.

Unit cell a=5.946 b=5.946 c=5.946 alpha=137.95 beta=137.95 gamma=60.98
Sites, in units of the cell vectors:
1 Dy 0.000 0.000 0.000
2 Si 0.388 0.388 0.000
3 Si 0.612 0.612 0.000
4 Au 0.750 0.250 0.500
5 Au 0.250 0.750 0.500

**Energy relative to the elements, uncorrected**: -0.5503 eV/atom
**DOS at the Fermi energy**: 1.331 states/eV/cell
**Space group**: I4/mmm
**ρ**: 10.9 g cm⁻³
**Crystal system**: tetragonal

[9]
Y3Ni8Pd: optimized geometry, GGA-PBE.

Unit cell a=5.002 b=5.002 c=8.676 alpha=73.25 beta=73.25 gamma=60.00
Sites, in units of the cell vectors:
1 Y 0.377 0.377 0.868
2 Y 0.989 0.989 0.032
3 Y 0.508 0.508 0.476
4 Ni 0.188 0.188 0.437
5 Ni 0.938 0.439 0.684
6 Ni 0.436 0.436 0.186
7 Ni 0.942 0.436 0.186
8 Ni 0.938 0.938 0.684
9 Ni 0.688 0.688 0.936
10 Ni 0.436 0.942 0.186
11 Ni 0.439 0.938 0.684
12 Pd 0.870 0.870 0.390

**DOS at the Fermi energy**: 14.428 states/eV/cell
**Space group**: R3m
**ρ**: 7.9 g cm⁻³
**E_form**: -0.409 eV per atom
**Crystal system**: trigonal

[10]
CsZrAlO4: optimized geometry, GGA-PBE.

Unit cell a=5.508 b=5.772 c=9.290 alpha=90.00 beta=123.10 gamma=90.00
Sites, in units of the cell vectors:
1 Al 0.795 0.250 0.641
2 Al 0.205 0.750 0.359
3 Cs 0.638 0.750 0.901
4 Cs 0.362 0.250 0.099
5 O 0.472 0.250 0.435
6 O 0.973 0.976 0.352
7 O 0.373 0.750 0.243
8 O 0.528 0.750 0.565
9 O 0.027 0.476 0.648
10 O 0.973 0.524 0.352
11 O 0.627 0.250 0.757
12 O 0.027 0.024 0.648
13 Zr 0.792 0.750 0.471
14 Zr 0.208 0.250 0.529

**Energy relative to the elements, uncorrected**: -2.7609 eV/atom
**DOS at the Fermi energy**: 0.000 states/eV/cell
**Space group**: P2_1/m
**ρ**: 4.2 g cm⁻³
**Crystal system**: monoclinic

[11]
ErTm4Ru5: optimized geometry, GGA-PBE.

Unit cell a=3.360 b=3.360 c=16.771 alpha=90.00 beta=90.00 gamma=90.00
Sites, in units of the cell vectors:
1 Ru 0.500 0.500 0.500
2 Ru 0.500 0.500 0.300
3 Ru 0.500 0.500 0.899
4 Ru 0.500 0.500 0.101
5 Ru 0.500 0.500 0.700
6 Er 0.000 0.000 0.000
7 Tm 0.000 0.000 0.600
8 Tm 0.000 0.000 0.201
9 Tm 0.000 0.000 0.400
10 Tm 0.000 0.000 0.799

**DOS at the Fermi energy**: 13.463 states/eV/cell
**Space group**: P4/mmm
**ρ**: 11.8 g cm⁻³
**E_form**: -0.411 eV per atom
**Crystal system**: tetragonal

[12]
Ce2SiS: optimized geometry, GGA-PBE.

Unit cell a=4.037 b=4.037 c=7.578 alpha=74.55 beta=74.55 gamma=60.00
Each line ends with the local moment (μB).
Sites, in units of the cell vectors:
1 Ce 0.253 0.253 0.241  0.72
2 Ce 0.081 0.081 0.757  0.62
3 S 0.498 0.498 0.506  -0.03
4 Si 0.668 0.668 0.996  -0.03

**Energy relative to the elements, uncorrected**: -1.1400 eV/atom
**Offset from the most stable computed form**: 174 meV per atom
**DOS at the Fermi energy**: 9.076 states/eV/cell
**Space group**: R3m
**ρ**: 5.6 g cm⁻³
**Crystal system**: trigonal